[1]
First-principles (SCAN) data for a crystal of Rb2ThF6 relaxed with PBEsol, as listed in Alexandria.

- energy (eV for the cell shown) = -193.03
- uncorrected formation energy (eV per atom) = -3.82

Cell: 6.817 6.817 3.808 Å, 90.00 90.00 120.00°
Atoms (fractional coordinates):
Rb 0.333 0.667 0.000
Rb 0.667 0.333 0.000
Th 0.000 0.000 0.500
F 0.000 0.335 0.500
F 0.000 0.779 0.000
F 0.221 0.221 0.000
F 0.335 0.000 0.500
F 0.665 0.665 0.500
F 0.779 0.000 0.000

---

[2]
First-principles (SCAN) data for a crystal of RbB2Mo relaxed with PBEsol, as listed in Alexandria.

- energy (eV for the cell shown) = -133.36
- ΔE to the lowest computed polymorph (meV per atom) = 0.0
- energy of formation (eV per formula unit) = 3.8

Cell: 6.423 6.423 6.423 Å, 118.53 118.53 92.56°
Atoms (fractional coordinates):
Rb 0.000 0.000 0.000
Rb 0.750 0.250 0.500
B 0.307 0.125 0.682
B 0.375 0.693 0.818
B 0.443 0.625 0.318
B 0.875 0.557 0.182
Mo 0.250 0.750 0.500
Mo 0.500 0.500 0.000

---

[3]
First-principles (SCAN) data for a crystal of MnAuCl3 relaxed with PBEsol, as listed in Alexandria.

- energy (eV for the cell shown) = -114.11
- uncorrected formation energy (eV per atom) = -0.55

Cell: 4.742 4.742 4.742 Å, 90.00 90.00 90.00°
Atoms (fractional coordinates):
Mn 0.000 0.000 0.000
Au 0.500 0.500 0.500
Cl 0.000 0.000 0.500
Cl 0.000 0.500 0.000
Cl 0.500 0.000 0.000

---

[4]
First-principles (SCAN) data for a crystal of BaSr relaxed with PBEsol, as listed in Alexandria.

- energy (eV for the cell shown) = -123.54
- ΔE to the lowest computed polymorph (meV per atom) = 19.7
- energy of formation (eV per formula unit) = 0.1

Cell: 7.419 7.419 7.419 Å, 131.87 131.87 70.44°
Atoms (fractional coordinates):
Ba 0.375 0.625 0.750
Ba 0.625 0.375 0.250
Sr 0.125 0.875 0.250
Sr 0.875 0.125 0.750

---

[5]
First-principles (SCAN) data for a crystal of BeOsIO2 relaxed with PBEsol, as listed in Alexandria.

- energy (eV for the cell shown) = -123.00
- uncorrected formation energy (eV per atom) = 0.49

Cell: 3.589 3.589 5.651 Å, 90.00 90.00 90.00°
Atoms (fractional coordinates):
Be 0.000 0.000 0.000
Os 0.500 0.500 0.500
I 0.000 0.000 0.500
O 0.000 0.500 0.000
O 0.500 0.000 0.000

---

[6]
First-principles (SCAN) data for a crystal of Ti3ReSb relaxed with PBEsol, as listed in Alexandria.

- energy (eV for the cell shown) = -149.06
- uncorrected formation energy (eV per atom) = 1.48

Cell: 4.786 4.786 4.786 Å, 90.00 90.00 90.00°
Atoms (fractional coordinates):
Ti 0.000 0.000 0.500
Ti 0.000 0.500 0.000
Ti 0.500 0.000 0.000
Re 0.500 0.500 0.500
Sb 0.000 0.000 0.000

---

[7]
First-principles (SCAN) data for a crystal of Mn2CdO3 relaxed with PBEsol, as listed in Alexandria.

- energy (eV for the cell shown) = -95.62
- uncorrected formation energy (eV per atom) = -1.67

Cell: 5.522 5.522 5.522 Å, 146.81 130.54 60.87°
Atoms (fractional coordinates):
Mn 0.166 0.166 0.000
Mn 0.834 0.834 0.000
Cd 0.500 0.500 0.000
O 0.000 0.500 0.500
O 0.316 0.816 0.500
O 0.684 0.184 0.500

---

[8]
First-principles (SCAN) data for a crystal of NaFeAg2 relaxed with PBEsol, as listed in Alexandria.

- energy (eV for the cell shown) = -83.54
- energy of formation (eV per formula unit) = 1.5

Cell: 4.534 4.534 4.534 Å, 60.00 60.00 60.00°
Atoms (fractional coordinates):
Na 0.000 0.000 0.000
Fe 0.500 0.500 0.500
Ag 0.250 0.250 0.250
Ag 0.750 0.750 0.750

---

[9]
First-principles (SCAN) data for a crystal of Nd6Al43Mo4 relaxed with PBEsol, as listed in Alexandria.

- energy (eV for the cell shown) = -1504.42
- energy of formation (eV per formula unit) = -17.8

Cell: 10.997 10.997 17.824 Å, 90.00 90.00 120.00°
Atoms (fractional coordinates):
Nd 0.000 0.469 0.095
Nd 0.000 0.469 0.405
Nd 0.000 0.531 0.595
Nd 0.000 0.531 0.905
Nd 0.469 0.000 0.095
Nd 0.469 0.000 0.405
Nd 0.469 0.469 0.595
Nd 0.469 0.469 0.905
Nd 0.531 0.000 0.595
Nd 0.531 0.000 0.905
Nd 0.531 0.531 0.095
Nd 0.531 0.531 0.405
Al 0.000 0.147 0.750
Al 0.000 0.159 0.115
Al 0.000 0.159 0.385
Al 0.000 0.251 0.531
Al 0.000 0.251 0.969
Al 0.000 0.749 0.031
Al 0.000 0.749 0.469
Al 0.000 0.841 0.615
Al 0.000 0.841 0.885
Al 0.000 0.853 0.250
Al 0.147 0.000 0.750
Al 0.147 0.147 0.250
Al 0.148 0.550 0.250
Al 0.148 0.597 0.750
Al 0.158 0.393 0.665
Al 0.158 0.393 0.835
Al 0.158 0.765 0.165
Al 0.158 0.765 0.335
Al 0.159 0.000 0.115
Al 0.159 0.000 0.385
Al 0.159 0.159 0.615
Al 0.159 0.159 0.885
Al 0.235 0.393 0.165
Al 0.235 0.393 0.335
Al 0.235 0.842 0.665
Al 0.235 0.842 0.835
Al 0.247 0.494 0.000
Al 0.247 0.494 0.500
Al 0.247 0.753 0.000
Al 0.247 0.753 0.500
Al 0.251 0.000 0.531
Al 0.251 0.000 0.969
Al 0.251 0.251 0.031
Al 0.251 0.251 0.469
Al 0.333 0.667 0.127
Al 0.333 0.667 0.373
Al 0.333 0.667 0.627
Al 0.333 0.667 0.873
Al 0.393 0.158 0.665
Al 0.393 0.158 0.835
Al 0.393 0.235 0.165
Al 0.393 0.235 0.335
Al 0.403 0.550 0.750
Al 0.403 0.852 0.250
Al 0.450 0.597 0.250
Al 0.450 0.852 0.750
Al 0.494 0.247 0.000
Al 0.494 0.247 0.500
Al 0.506 0.753 0.000
Al 0.506 0.753 0.500
Al 0.550 0.148 0.250
Al 0.550 0.403 0.750
Al 0.597 0.148 0.750
Al 0.597 0.450 0.250
Al 0.607 0.765 0.665
Al 0.607 0.765 0.835
Al 0.607 0.842 0.165
Al 0.607 0.842 0.335
Al 0.667 0.333 0.127
Al 0.667 0.333 0.373
Al 0.667 0.333 0.627
Al 0.667 0.333 0.873
Al 0.749 0.000 0.031
Al 0.749 0.000 0.469
Al 0.749 0.749 0.531
Al 0.749 0.749 0.969
Al 0.753 0.247 0.000
Al 0.753 0.247 0.500
Al 0.753 0.506 0.000
Al 0.753 0.506 0.500
Al 0.765 0.158 0.165
Al 0.765 0.158 0.335
Al 0.765 0.607 0.665
Al 0.765 0.607 0.835
Al 0.841 0.000 0.615
Al 0.841 0.000 0.885
Al 0.841 0.841 0.115
Al 0.841 0.841 0.385
Al 0.842 0.235 0.665
Al 0.842 0.235 0.835
Al 0.842 0.607 0.165
Al 0.842 0.607 0.335
Al 0.852 0.403 0.250
Al 0.852 0.450 0.750
Al 0.853 0.000 0.250
Al 0.853 0.853 0.750
Mo 0.000 0.000 0.000
Mo 0.000 0.000 0.500
Mo 0.000 0.268 0.250
Mo 0.000 0.732 0.750
Mo 0.268 0.000 0.250
Mo 0.268 0.268 0.750
Mo 0.732 0.000 0.750
Mo 0.732 0.732 0.250

---

[10]
First-principles (SCAN) data for a crystal of Y2AlCo relaxed with PBEsol, as listed in Alexandria.

- energy (eV for the cell shown) = -162.21
- energy of formation (eV per formula unit) = -0.4

Cell: 5.998 5.998 9.072 Å, 90.00 90.00 149.78°
Atoms (fractional coordinates):
Y 0.120 0.880 0.575
Y 0.120 0.880 0.925
Y 0.880 0.120 0.075
Y 0.880 0.120 0.425
Al 0.182 0.818 0.250
Al 0.818 0.182 0.750
Co 0.476 0.524 0.750
Co 0.524 0.476 0.250

---

[11]
First-principles (SCAN) data for a crystal of Li2MnP2O7 relaxed with PBEsol, as listed in Alexandria.

- energy (eV for the cell shown) = -234.47
- ΔE to the lowest computed polymorph (meV per atom) = 28.2
- uncorrected formation energy (eV per atom) = -2.48

Cell: 5.086 5.086 13.483 Å, 100.81 100.81 60.01°
Atoms (fractional coordinates):
Li 0.132 0.633 0.898
Li 0.367 0.868 0.602
Li 0.633 0.132 0.398
Li 0.868 0.367 0.102
Mn 0.000 0.500 0.500
Mn 0.500 0.000 0.000
P 0.210 0.710 0.129
P 0.290 0.790 0.371
P 0.710 0.210 0.629
P 0.790 0.290 0.871
O 0.022 0.785 0.404
O 0.097 0.285 0.904
O 0.215 0.978 0.096
O 0.249 0.751 0.250
O 0.285 0.097 0.404
O 0.402 0.479 0.597
O 0.479 0.402 0.097
O 0.521 0.598 0.903
O 0.598 0.521 0.403
O 0.715 0.903 0.596
O 0.751 0.249 0.750
O 0.785 0.022 0.904
O 0.903 0.715 0.096
O 0.978 0.215 0.596

---

[12]
First-principles (SCAN) data for a crystal of TlRh2W relaxed with PBEsol, as listed in Alexandria.

- energy (eV for the cell shown) = -208.73
- ΔE to the lowest computed polymorph (meV per atom) = 0.0
- energy of formation (eV per formula unit) = 0.9

Cell: 9.146 9.146 9.146 Å, 18.12 18.12 18.12°
Atoms (fractional coordinates):
Tl 0.000 0.000 0.000
Rh 0.244 0.244 0.244
Rh 0.756 0.756 0.756
W 0.500 0.500 0.500

---

no.,magnetic moment (μB/cell)
1,0.1
2,0.0
3,4.7
4,0.1
5,2.1
6,1.4
7,10.0
8,3.0
9,0.0
10,2.0
11,10.0
12,0.0